# PBE-GGA HoMoRu, optimized geometry
data_HoMoRu
_chemical_formula_sum 'Ho4 Mo4 Ru4'
_space_group_name_H-M_alt 'P 41 21 2'
_space_group_IT_number 92
_cell_length_a 6.7928
_cell_length_b 6.7928
_cell_length_c 5.9559
_cell_angle_alpha 90.00
_cell_angle_beta 90.00
_cell_angle_gamma 90.00
loop_
_space_group_symop_operation_xyz
'x,y,z'
'-y+1/2,x+1/2,z+1/4'
'-x,-y,z+1/2'
'y+1/2,-x+1/2,z+3/4'
'x+1/2,-y+1/2,-z+3/4'
'-y,-x,-z+1/2'
'-x+1/2,y+1/2,-z+1/4'
'y,x,-z'
loop_
_atom_site_label
_atom_site_type_symbol
_atom_site_fract_x
_atom_site_fract_y
_atom_site_fract_z
_atom_site_occupancy
Ho1 Ho 0.2450 0.2450 0.0000 1
Mo1 Mo 0.1991 0.8009 0.7500 1
Ru1 Ru 0.0475 0.0475 0.5000 1
# Fermi-level density of states, states/eV/f.u.: 2.46
# Theoretical density, g/cm3: 8.748
# Formation enthalpy at 0 K, meV per atom: 421
# E_tot, eV/atom: -7.808
# Volume, A^3/atom: 22.901
# Magnetization, μB/f.u.: 0.00
# Crystal system: tetragonal